Entry 1:
Material: SrURhN3
Method: DFT, PBE
State: optimized geometry

Structure (POSCAR):
```
SrURhN3
1.0
-0.1715 -3.3331 -1.5280
5.2786 -2.9475 5.8371
-5.9723 -0.9131 2.6622
Rh Sr N U
2 2 6 2
direct
0.2500 0.0508 0.6490
0.7500 0.9492 0.3510
0.2500 0.2831 0.3324
0.7500 0.7169 0.6676
0.2500 0.2137 0.9355
0.2500 0.5070 0.8162
0.7500 0.7863 0.0645
0.2500 0.8318 0.4474
0.7500 0.1682 0.5526
0.7500 0.4930 0.1838
0.2500 0.6715 0.1362
0.7500 0.3285 0.8638
```

## Properties
SG = P2_1/m (11)
formation energy (no corrections) = -752 meV per atom
DOS at the Fermi energy = 3.75 states/eV per cell

---

Entry 2:
Material: Sr2YRhN
Method: DFT, PBE
State: optimized geometry

Structure (POSCAR):
```
Sr2YRhN
1.0
6.5368 0.0000 0.0000
0.0000 4.7118 0.0000
0.0000 0.0000 6.5368
Rh Y N Sr
1 1 1 2
direct
0.0000 0.5000 0.0000
0.0000 0.0000 0.0000
0.5000 0.5000 0.5000
0.5000 0.0000 0.0000
0.0000 0.0000 0.5000
```

## Properties
SG = P4/mmm (123)
formation energy (no corrections) = 1516 meV per atom
DOS at the Fermi energy = 6.42 states/eV per cell

---

Entry 3:
Material: SrZnRhN2
Method: DFT, PBE
State: optimized geometry

Structure (POSCAR):
```
SrZnRhN2
1.0
4.1730 0.0000 0.0000
0.0000 4.6583 0.0000
0.0000 0.0000 4.1730
N Zn Sr Rh
2 1 1 1
direct
0.0000 0.0000 0.5000
0.5000 0.0000 0.0000
0.0000 0.5000 0.0000
0.5000 0.5000 0.5000
0.0000 0.0000 0.0000
```

## Properties
SG = P4/mmm (123)
formation energy (no corrections) = 622 meV per atom
DOS at the Fermi energy = 2.85 states/eV per cell

---

Entry 4:
Material: Ta2RhN
Method: DFT, PBE
State: optimized geometry

Structure (POSCAR):
```
Ta2RhN
1.0
5.2223 0.0000 0.0000
0.0000 5.2223 0.0000
2.6111 2.6111 5.1061
N Ta Rh
2 4 2
direct
0.2500 0.7500 0.5000
0.5000 0.5000 0.0000
0.8750 0.7953 0.7500
0.2047 0.6250 0.2500
0.3750 0.4547 0.7500
0.5453 0.1250 0.2500
0.0000 0.0000 0.0000
0.7500 0.2500 0.5000
```

## Properties
SG = I-42d (122)
formation energy (no corrections) = -275 meV per atom
DOS at the Fermi energy = 5.34 states/eV per cell

---

Entry 5:
Material: Ta6Rh3N
Method: DFT, PBE
State: optimized geometry

Structure (POSCAR):
```
Ta6Rh3N
1.0
5.3948 0.0000 -0.0043
0.0000 7.5204 0.0000
0.0972 0.0000 7.9824
Ta Rh N
12 6 2
direct
0.1818 0.1171 0.7764
0.8182 0.8829 0.2236
0.6818 0.3829 0.2764
0.8393 0.7730 0.8763
0.6607 0.2730 0.6237
0.1641 0.3514 0.4727
0.3359 0.8514 0.0273
0.8359 0.6486 0.5273
0.3182 0.6171 0.7236
0.1607 0.2270 0.1237
0.3393 0.7270 0.3763
0.6641 0.1486 0.9727
0.0000 0.0000 0.5000
0.5451 0.9304 0.6647
0.9549 0.4304 0.8353
0.5000 0.5000 0.0000
0.0451 0.5696 0.1647
0.4549 0.0696 0.3353
0.0000 0.0000 0.0000
0.5000 0.5000 0.5000
```

## Properties
SG = P2_1/c (14)
formation energy (no corrections) = -345 meV per atom
DOS at the Fermi energy = 15.90 states/eV per cell

---

Entry 6:
Material: TaRh3N
Method: DFT, PBE
State: optimized geometry

Structure (POSCAR):
```
TaRh3N
1.0
4.0934 0.0000 0.0000
0.0000 4.0934 0.0000
0.0000 0.0000 4.0934
Rh Ta N
3 1 1
direct
0.5000 0.0000 0.0000
0.0000 0.0000 0.5000
0.0000 0.5000 0.0000
0.5000 0.5000 0.5000
0.0000 0.0000 0.0000
```

## Properties
SG = Pm-3m (221)
energy relative to the lowest polymorph listed for this composition = 0 meV per atom
formation energy (no corrections) = 145 meV per atom
DOS at the Fermi energy = 4.22 states/eV per cell

---

Entry 7:
Material: Ta4Rh2N
Method: DFT, PBE
State: optimized geometry

Structure (POSCAR):
```
Ta4Rh2N
1.0
-6.9940 -2.2807 4.1166
-1.7979 -8.1686 1.0513
0.5621 -3.4885 7.6536
Ta Rh N
16 8 4
direct
0.6250 0.1250 0.6250
0.4318 0.4318 0.0682
0.1818 0.8182 0.1818
0.1818 0.8182 0.8182
0.6250 0.6250 0.1250
0.0682 0.4318 0.0682
0.4318 0.0682 0.4318
0.8182 0.1818 0.1818
0.0682 0.0682 0.4318
0.1250 0.6250 0.6250
0.1818 0.1818 0.8182
0.8182 0.1818 0.8182
0.0682 0.4318 0.4318
0.8182 0.8182 0.1818
0.4318 0.0682 0.0682
0.6250 0.6250 0.6250
0.4868 0.8377 0.8377
0.4123 0.4123 0.7632
0.7632 0.4123 0.4123
0.8377 0.8377 0.8377
0.4123 0.4123 0.4123
0.4123 0.7632 0.4123
0.8377 0.4868 0.8377
0.8377 0.8377 0.4868
0.1250 0.1250 0.6250
0.1250 0.1250 0.1250
0.1250 0.6250 0.1250
0.6250 0.1250 0.1250
```

## Properties
SG = Fd-3m (227)
energy relative to the lowest polymorph listed for this composition = 0 meV per atom
formation energy (no corrections) = -652 meV per atom
DOS at the Fermi energy = 37.90 states/eV per cell

---

Entry 8:
Material: TaRhN3
Method: DFT, PBE
State: optimized geometry

Structure (POSCAR):
```
TaRhN3
1.0
-0.1348 -2.3063 3.2819
1.8713 -2.9406 -1.9896
3.5479 1.4634 1.1741
Ta Rh N
1 1 3
direct
0.0000 0.0000 0.0000
0.5000 0.5000 0.5000
0.0000 0.5000 0.0000
0.0000 0.0000 0.5000
0.5000 0.0000 0.0000
```

## Properties
SG = Pm-3m (221)
formation energy (no corrections) = 847 meV per atom
DOS at the Fermi energy = 7.22 states/eV per cell

---

Entry 9:
Material: Ta4Rh2N
Method: DFT, PBE
State: optimized geometry

Structure (POSCAR):
```
Ta4Rh2N
1.0
3.0865 0.0000 0.0000
0.0000 7.1166 0.0000
0.0000 0.0000 9.9724
Ta Rh N
8 4 2
direct
0.5000 0.8146 0.5689
0.0000 0.1406 0.6953
0.5000 0.1854 0.4311
0.0000 0.3594 0.1953
0.5000 0.6854 0.0689
0.0000 0.8594 0.3047
0.5000 0.3146 0.9311
0.0000 0.6406 0.8047
0.5000 0.0534 0.1307
0.5000 0.4466 0.6307
0.5000 0.9466 0.8693
0.5000 0.5534 0.3693
0.0000 0.0000 0.5000
0.0000 0.5000 0.0000
```

## Properties
SG = Pbam (55)
energy relative to the lowest polymorph listed for this composition = 174 meV per atom
formation energy (no corrections) = -478 meV per atom
DOS at the Fermi energy = 11.80 states/eV per cell

---

Entry 10:
Material: Ta2RhN
Method: DFT, PBE
State: optimized geometry

Structure (POSCAR):
```
Ta2RhN
1.0
3.0816 0.0000 0.0000
1.5408 2.6687 0.0000
1.5408 0.8896 6.7725
Ta N Rh
2 1 1
direct
0.7273 0.7273 0.8182
0.2727 0.2727 0.1818
0.0000 0.0000 0.0000
0.5000 0.5000 0.5000
```

## Properties
SG = R-3m (166)
formation energy (no corrections) = -650 meV per atom
DOS at the Fermi energy = 2.96 states/eV per cell

---

Entry 11:
Material: TaRhN3
Method: DFT, PBE
State: optimized geometry

Structure (POSCAR):
```
TaRhN3
1.0
-0.7266 1.5509 3.3979
2.7209 -2.1518 1.5639
2.5589 2.7283 -0.6981
Rh N Ta
1 3 1
direct
0.0000 0.0000 0.0000
0.0000 0.5000 0.0000
0.0000 0.0000 0.5000
0.5000 0.0000 0.0000
0.5000 0.5000 0.5000
```

## Properties
SG = Pm-3m (221)
formation energy (no corrections) = 1285 meV per atom
DOS at the Fermi energy = 3.83 states/eV per cell

---

Entry 12:
Material: TaRh3N
Method: DFT, PBE
State: optimized geometry

Structure (POSCAR):
```
TaRh3N
1.0
4.7715 0.0000 0.0000
0.0000 4.7715 0.0000
0.0000 0.0000 4.7715
Rh Ta N
3 1 1
direct
0.0000 0.0000 0.5000
0.0000 0.5000 0.0000
0.5000 0.0000 0.0000
0.0000 0.0000 0.0000
0.5000 0.5000 0.5000
```

## Properties
SG = Pm-3m (221)
energy relative to the lowest polymorph listed for this composition = 1949 meV per atom
formation energy (no corrections) = 2094 meV per atom
DOS at the Fermi energy = 4.36 states/eV per cell

---

Entry 13:
Material: TaRh2N
Method: DFT, PBE
State: optimized geometry

Structure (POSCAR):
```
TaRh2N
1.0
5.1265 0.0000 0.0000
0.0000 5.1265 0.0000
2.5632 2.5632 5.0591
Rh N Ta
4 2 2
direct
0.3750 0.4647 0.7500
0.2147 0.6250 0.2500
0.8750 0.7853 0.7500
0.5353 0.1250 0.2500
0.5000 0.5000 0.0000
0.2500 0.7500 0.5000
0.0000 0.0000 0.0000
0.7500 0.2500 0.5000
```

## Properties
SG = I-42d (122)
formation energy (no corrections) = 265 meV per atom
DOS at the Fermi energy = 2.49 states/eV per cell

---

Entry 14:
Material: Th2TaRhN5
Method: DFT, PBE
State: optimized geometry

Structure (POSCAR):
```
Th2TaRhN5
1.0
-1.1818 -0.9737 2.9519
-5.2339 -1.1396 -4.3443
3.6323 -9.8455 -1.7934
Th N Rh Ta
4 10 2 2
direct
0.1030 0.2061 0.6817
0.8567 0.7134 0.8060
0.1433 0.2866 0.3060
0.8970 0.7939 0.1817
0.2799 0.5598 0.6479
0.5121 0.0241 0.2708
0.3629 0.7258 0.9960
0.7201 0.4402 0.1479
0.6813 0.3626 0.8781
0.0582 0.1164 0.0751
0.4879 0.9759 0.7708
0.6371 0.2742 0.4960
0.3187 0.6374 0.3781
0.9418 0.8836 0.5751
0.5294 0.0588 0.9547
0.4706 0.9412 0.4547
0.7988 0.5976 0.5136
0.2012 0.4024 0.0136
```

## Properties
SG = Cmc2_1 (36)
formation energy (no corrections) = -1039 meV per atom
DOS at the Fermi energy = 3.71 states/eV per cell

---

Entry 15:
Material: ZrTa2RhN
Method: DFT, PBE
State: optimized geometry

Structure (POSCAR):
```
ZrTa2RhN
1.0
4.1817 0.0000 0.0000
0.0000 4.1817 0.0000
0.0000 0.0000 4.5160
Ta Rh Zr N
2 1 1 1
direct
0.5000 0.0000 0.0000
0.0000 0.5000 0.0000
0.5000 0.5000 0.5000
0.0000 0.0000 0.5000
0.0000 0.0000 0.0000
```

## Properties
SG = P4/mmm (123)
formation energy (no corrections) = -679 meV per atom
DOS at the Fermi energy = 3.83 states/eV per cell

---

Entry 16:
Material: Zr2TaRhN
Method: DFT, PBE
State: optimized geometry

Structure (POSCAR):
```
Zr2TaRhN
1.0
4.4849 0.0000 0.0000
0.0000 4.4849 0.0000
0.0000 0.0000 4.1324
Ta Zr N Rh
1 2 1 1
direct
0.0000 0.0000 0.5000
0.5000 0.0000 0.0000
0.0000 0.5000 0.0000
0.0000 0.0000 0.0000
0.5000 0.5000 0.5000
```

## Properties
SG = P4/mmm (123)
formation energy (no corrections) = -789 meV per atom
DOS at the Fermi energy = 5.81 states/eV per cell

---

Entry 17:
Material: Tb3RhN
Method: DFT, PBE
State: optimized geometry

Structure (POSCAR):
```
Tb3RhN
1.0
4.7360 0.0000 0.0000
0.0000 4.7360 0.0000
0.0000 0.0000 4.7360
Rh N Tb
1 1 3
direct
0.5000 0.5000 0.5000
0.0000 0.0000 0.0000
0.0000 0.5000 0.0000
0.0000 0.0000 0.5000
0.5000 0.0000 0.0000
```

## Properties
SG = Pm-3m (221)
formation energy (no corrections) = -816 meV per atom
DOS at the Fermi energy = 5.22 states/eV per cell

---

Entry 18:
Material: TbRhN
Method: DFT, PBE
State: optimized geometry

Structure (POSCAR):
```
TbRhN
1.0
4.5792 0.0000 0.0000
0.0000 4.5792 0.0000
-2.2896 -2.2896 4.6123
Tb Rh N
2 2 2
direct
0.7635 0.2635 0.5271
0.5135 0.5135 0.0271
0.2290 0.7290 0.4580
0.9790 0.9790 0.9580
0.7575 0.7575 0.5149
0.0075 0.5075 0.0149
```

## Properties
SG = I4_1md (109)
formation energy (no corrections) = -557 meV per atom
DOS at the Fermi energy = 2.03 states/eV per cell

---

Entry 19:
Material: Tb6Rh2N
Method: DFT, PBE
State: optimized geometry

Structure (POSCAR):
```
Tb6Rh2N
1.0
-0.9916 -6.1673 1.5819
6.8819 -1.3348 -0.8900
1.5533 1.8958 9.1680
Rh Tb N
4 12 2
direct
0.9601 0.4041 0.2465
0.4601 0.0959 0.7465
0.0399 0.5959 0.7535
0.5399 0.9041 0.2535
0.8810 0.9605 0.7417
0.6735 0.1922 0.0608
0.1913 0.3270 0.9422
0.6190 0.4605 0.7583
0.6913 0.1730 0.4422
0.8087 0.6730 0.0578
0.1735 0.3078 0.5608
0.3087 0.8270 0.5578
0.1190 0.0395 0.2583
0.3265 0.8078 0.9392
0.8265 0.6922 0.4392
0.3810 0.5395 0.2417
0.5000 0.5000 0.0000
0.0000 0.0000 0.5000
```

## Properties
SG = P2_1/c (14)
formation energy (no corrections) = -791 meV per atom
DOS at the Fermi energy = 14.49 states/eV per cell

---

Entry 20:
Material: TbTh2RhN4
Method: DFT, PBE
State: optimized geometry

Structure (POSCAR):
```
TbTh2RhN4
1.0
-2.1168 0.7627 -2.6238
-1.0255 -6.0243 1.3527
-8.5545 3.2159 7.8364
Th N Tb Rh
4 8 2 2
direct
0.3701 0.7402 0.9432
0.3701 0.7402 0.5568
0.6299 0.2598 0.0568
0.6299 0.2598 0.4432
0.4643 0.9286 0.7500
0.0000 0.0000 0.5000
0.2785 0.5570 0.1231
0.7215 0.4430 0.8769
0.5357 0.0714 0.2500
0.0000 0.0000 0.0000
0.7215 0.4430 0.6231
0.2785 0.5570 0.3769
0.8853 0.7705 0.2500
0.1147 0.2295 0.7500
0.8517 0.7033 0.7500
0.1483 0.2967 0.2500
```

## Properties
SG = Cmcm (63)
formation energy (no corrections) = -1086 meV per atom
DOS at the Fermi energy = 10.53 states/eV per cell

---

Entry 21:
Material: Tb2ThRhN4
Method: DFT, PBE
State: optimized geometry

Structure (POSCAR):
```
Tb2ThRhN4
1.0
-2.4356 -1.0140 2.1826
1.5831 -4.9895 -3.2373
8.1515 -2.5479 7.9130
N Rh Tb Th
8 2 4 2
direct
0.7204 0.4408 0.8702
0.0000 0.0000 0.0000
0.2796 0.5592 0.3702
0.7204 0.4408 0.6298
0.5420 0.0841 0.2500
0.2796 0.5592 0.1298
0.0000 0.0000 0.5000
0.4580 0.9159 0.7500
0.8515 0.7031 0.7500
0.1485 0.2969 0.2500
0.3714 0.7428 0.5501
0.3714 0.7428 0.9499
0.6286 0.2572 0.4499
0.6286 0.2572 0.0501
0.8874 0.7749 0.2500
0.1126 0.2251 0.7500
```

## Properties
SG = Cmcm (63)
formation energy (no corrections) = -1099 meV per atom
DOS at the Fermi energy = 5.44 states/eV per cell

---

Entry 22:
Material: Tc3RhN
Method: DFT, PBE
State: optimized geometry

Structure (POSCAR):
```
Tc3RhN
1.0
4.0255 0.0000 0.0000
0.0000 4.0255 0.0000
0.0000 0.0000 4.0255
Rh Tc N
1 3 1
direct
0.5000 0.5000 0.5000
0.5000 0.0000 0.0000
0.0000 0.5000 0.0000
0.0000 0.0000 0.5000
0.0000 0.0000 0.0000
```

## Properties
SG = Pm-3m (221)
energy relative to the lowest polymorph listed for this composition = 0 meV per atom
formation energy (no corrections) = -3 meV per atom
DOS at the Fermi energy = 2.64 states/eV per cell

---

Entry 23:
Material: Tc3RhN
Method: DFT, PBE
State: optimized geometry

Structure (POSCAR):
```
Tc3RhN
1.0
4.6811 0.0000 0.0000
0.0000 4.6811 0.0000
0.0000 0.0000 4.6811
N Tc Rh
1 3 1
direct
0.5000 0.5000 0.5000
0.5000 0.0000 0.0000
0.0000 0.5000 0.0000
0.0000 0.0000 0.5000
0.0000 0.0000 0.0000
```

## Properties
SG = Pm-3m (221)
energy relative to the lowest polymorph listed for this composition = 2970 meV per atom
formation energy (no corrections) = 2967 meV per atom
DOS at the Fermi energy = 6.03 states/eV per cell